A plane-wave DFT calculation with PBE+U was carried out for an optimized crystal structure of BaNpFeO5.

```
16
Lattice="-2.8809 -4.9549 2.3089 3.2409 -1.6777 -4.9863 5.7584 1.4974 5.5049" Properties=species:S:1:pos:R:3 pbc="T T T"
O 0.6473 -3.1686 3.3782
O 3.8143 -0.9331 2.0705
O 5.4710 -1.9667 -0.5508
O 7.2763 -0.4126 1.6622
O 1.8191 -3.6278 5.9833
O 0.3089 -2.0170 0.0643
O -1.1579 -4.7227 1.1652
O 4.2993 -1.5075 -3.1558
O 5.8095 -3.1182 2.7632
O 2.3041 -4.2021 0.7570
Ba 3.4392 -2.7605 4.0526
Ba 2.6792 -2.3747 -1.2252
Np 2.8792 0.7487 2.7524
Np 0.0000 0.0000 0.0000
Fe 5.6400 -1.5824 1.4300
Fe 0.4784 -3.5529 1.3974
```

Properties
**Final energy**: -8.2127 eV/atom
**Symmetry**: C2/c, No. 15